## LiY3As (SCAN)

Data for LiY3As at its PBEsol-relaxed geometry.

The structure in CIF format:
```
data_LiY3As
_chemical_formula_sum 'Li1 Y3 As1'
_symmetry_space_group_name_H-M 'P 1'
_symmetry_Int_Tables_number 1
_symmetry_space_group_name_Hall 'P 1'
_cell_length_a 4.9810
_cell_length_b 4.9810
_cell_length_c 4.9810
_cell_angle_alpha 90.00
_cell_angle_beta 90.00
_cell_angle_gamma 90.00
loop_
_atom_site_label
_atom_site_fract_x
_atom_site_fract_y
_atom_site_fract_z
_atom_site_occupancy
Li1 0.0000 0.0000 0.0000 1
Y1 0.0000 0.0000 0.5000 1
Y2 0.0000 0.5000 0.0000 1
Y3 0.5000 0.0000 0.0000 1
As1 0.5000 0.5000 0.5000 1
```

Summary:
The formation energy is 1.05 eV per formula unit.

## SrAsS2Cl (SCAN)

Data for SrAsS2Cl at its PBEsol-relaxed geometry.

The structure in CIF format:
```
data_SrAsS2Cl
_chemical_formula_sum 'Sr1 As1 S2 Cl1'
_symmetry_space_group_name_H-M 'P 1'
_symmetry_Int_Tables_number 1
_symmetry_space_group_name_Hall 'P 1'
_cell_length_a 5.4773
_cell_length_b 5.4773
_cell_length_c 6.0373
_cell_angle_alpha 90.00
_cell_angle_beta 90.00
_cell_angle_gamma 90.00
loop_
_atom_site_label
_atom_site_fract_x
_atom_site_fract_y
_atom_site_fract_z
_atom_site_occupancy
Sr1 0.0000 0.0000 0.0000 1
As1 0.0000 0.0000 0.5000 1
S1 0.0000 0.5000 0.0000 1
S2 0.5000 0.0000 0.0000 1
Cl1 0.5000 0.5000 0.5000 1
```

Summary:
Its uncorrected formation energy is 0.5062 eV per atom.

## Ca2TlTeRu (SCAN)

Data for Ca2TlTeRu at its PBEsol-relaxed geometry.

The structure in CIF format:
```
data_Ca2TlTeRu
_chemical_formula_sum 'Ca2 Tl1 Te1 Ru1'
_symmetry_space_group_name_H-M 'P 1'
_symmetry_Int_Tables_number 1
_symmetry_space_group_name_Hall 'P 1'
_cell_length_a 5.7315
_cell_length_b 5.7315
_cell_length_c 5.5483
_cell_angle_alpha 90.00
_cell_angle_beta 90.00
_cell_angle_gamma 90.00
loop_
_atom_site_label
_atom_site_fract_x
_atom_site_fract_y
_atom_site_fract_z
_atom_site_occupancy
Ca1 0.0000 0.5000 0.0000 1
Ca2 0.5000 0.0000 0.0000 1
Tl1 0.0000 0.0000 0.0000 1
Te1 0.0000 0.0000 0.5000 1
Ru1 0.5000 0.5000 0.5000 1
```

Summary:
Its uncorrected formation energy is 0.8553 eV per atom.

## SmTm3 (SCAN)

Data for SmTm3 at its PBEsol-relaxed geometry.

The structure in CIF format:
```
data_SmTm3
_chemical_formula_sum 'Sm2 Tm6'
_symmetry_space_group_name_H-M 'P 1'
_symmetry_Int_Tables_number 1
_symmetry_space_group_name_Hall 'P 1'
_cell_length_a 7.0364
_cell_length_b 7.0364
_cell_length_c 5.5090
_cell_angle_alpha 90.00
_cell_angle_beta 90.00
_cell_angle_gamma 120.00
loop_
_atom_site_label
_atom_site_fract_x
_atom_site_fract_y
_atom_site_fract_z
_atom_site_occupancy
Sm1 0.3333 0.6667 0.2500 1
Sm2 0.6667 0.3333 0.7500 1
Tm1 0.1657 0.3313 0.7500 1
Tm2 0.1657 0.8343 0.7500 1
Tm3 0.3313 0.1657 0.2500 1
Tm4 0.6687 0.8343 0.7500 1
Tm5 0.8343 0.1657 0.2500 1
Tm6 0.8343 0.6687 0.2500 1
```

Summary:
The formation energy is 0.03 eV per formula unit. For the energy above the most stable polymorph in this dataset, the calculation gives 0 meV per atom.

no.,spin magnetization (μB/f.u.)
1,0.0
2,0.9
3,2.9
4,0.0